Record 1
Entry from Alexandria via LeMat-Bulk: SmZrCu after structural relaxation (PBE).

The total DFT energy (no corrections) comes out at -5.87 eV/atom. Its crystal system is tetragonal. The calculation puts the total magnetic moment at 0.000 μB/f.u. For the relative energy among the computed polymorphs, the calculation gives 0.000 eV/f.u. For the calculated formation energy, the calculation gives -0.082 eV per atom.

The structure belongs to space group P4/nmm (No. 129, origin choice 2); the cell edges are 4.500, 4.500 and 6.925 Å and the angles 90.00°, 90.00° and 90.00°. The inequivalent atoms are Sm at (0.250, 0.250, 0.127), Zr at (0.250, 0.750, 0.500) and Cu at (0.250, 0.250, 0.728).

---

Record 2
Entry from Alexandria via LeMat-Bulk: SmZr2Cu after structural relaxation (PBE).

The total DFT energy (no corrections) comes out at -6.14 eV/atom. Its crystal system is trigonal. The calculation puts the total magnetic moment at 0.000 μB/f.u. For the relative energy among the computed polymorphs, the calculation gives 1.217 eV/f.u. For the calculated formation energy, the calculation gives 0.342 eV per atom.

The structure belongs to space group R-3m (No. 166, hexagonal axes); the cell edges are 3.1563, 3.1563 and 32.4491 Å and the angles 90.00°, 90.00° and 120.00°. The inequivalent atoms are Sm at (0.0000, 0.0000, 0.0000), Zr at (0.0000, 0.0000, 0.1005) and Cu at (0.0000, 0.0000, 0.5000).

---

Record 3
Entry from Alexandria via LeMat-Bulk: CuSn4 after structural relaxation (PBE).

The total DFT energy (no corrections) comes out at -3.97 eV/atom. Its crystal system is monoclinic. The calculation puts the total magnetic moment at 0.000 μB/f.u. For the calculated formation energy, the calculation gives 0.053 eV per atom.

The structure belongs to space group C2/c (No. 15); the cell edges are 6.965, 13.266 and 6.541 Å and the angles 90.00°, 121.97° and 90.00°. The inequivalent atoms are Cu at (0.000, 0.125, 0.250), Sn at (0.198, 0.236, 0.712) and Sn at (0.237, 0.487, 0.292).

---

Record 4
Entry from Alexandria via LeMat-Bulk: Cu5Sn6 after structural relaxation (PBE).

The total DFT energy (no corrections) comes out at -3.92 eV/atom. Its crystal system is monoclinic. The calculation puts the total magnetic moment at 0.000 μB/f.u. For the calculated formation energy, the calculation gives 0.125 eV per atom.

The structure belongs to space group C2/m (No. 12); the cell edges are 6.821, 9.775 and 6.927 Å and the angles 90.00°, 105.18° and 90.00°. The inequivalent atoms are Cu at (0.000, 0.000, 0.000), Cu at (0.000, 0.126, 0.500), Cu at (0.000, 0.268, 0.000), Sn at (0.202, 0.343, 0.708) and Sn at (0.204, 0.500, 0.199).

---

Record 5
Entry from Alexandria via LeMat-Bulk: CuSn3 after structural relaxation (PBE).

The total DFT energy (no corrections) comes out at -3.90 eV/atom. Its crystal system is orthorhombic. The calculation puts the total magnetic moment at 0.000 μB/f.u. For the relative energy among the computed polymorphs, the calculation gives 0.113 eV/f.u. For the calculated formation energy, the calculation gives 0.122 eV per atom.

The structure belongs to space group Pmm2 (No. 25); the cell edges are 3.222, 3.550 and 8.506 Å and the angles 90.00°, 90.00° and 90.00°. The inequivalent atoms are Cu at (0.000, 0.000, 0.000), Sn at (0.000, 0.500, 0.242), Sn at (0.500, 0.000, 0.519) and Sn at (0.500, 0.500, 0.835).

---

Record 6
Entry from Alexandria via LeMat-Bulk: CuSn3 after structural relaxation (PBE).

The total DFT energy (no corrections) comes out at -3.81 eV/atom. Its crystal system is hexagonal. The calculation puts the total magnetic moment at 0.000 μB/f.u. For the relative energy among the computed polymorphs, the calculation gives 0.510 eV/f.u. For the calculated formation energy, the calculation gives 0.221 eV per atom.

The structure belongs to space group P6_3/mmc (No. 194); the cell edges are 6.5001, 6.5001 and 5.2059 Å and the angles 90.00°, 90.00° and 120.00°. The inequivalent atoms are Cu at (0.3333, 0.6667, 0.2500) and Sn at (0.1733, 0.3466, 0.7500).

---

calculated formation energy of number 1 (SmZrCu)? -0.082 eV per atom

---

Look up the calculated formation energy of the fifth one. 0.122 eV per atom

---

The highest total DFT energy (no corrections) belongs to which entry? number 6